DFT (PBE) results for a relaxed structure of ZnSiPd2.

Properties
volume = 14.7 A^3/atom
calculated density = 8.66 g cm⁻³

Cell lengths 4.3633, 4.3633, 4.3633 Å; angles 60.00, 60.00, 60.00 degrees
Closest atoms and distances in Å follow each position.
Positions (direct):
Pd 0.0000 0.0000 0.0000  4 Pd 2.67, 4 Zn 2.67
Pd 0.7500 0.7500 0.7500  4 Si 2.67, 4 Pd 2.67
Si 0.5000 0.5000 0.5000  4 Pd 2.67, 4 Zn 2.67
Zn 0.2500 0.2500 0.2500  4 Si 2.67, 4 Pd 2.67


DFT (PBE) results for a relaxed structure of LiAl2Ag.

Properties
volume = 16.1 A^3/atom
calculated density = 4.36 g cm⁻³

Cell lengths 4.4949, 4.4949, 4.4949 Å; angles 60.00, 60.00, 60.00 degrees
Closest atoms and distances in Å follow each position.
Positions (direct):
Ag 0.5000 0.5000 0.5000  4 Al 2.75, 4 Li 2.75
Al 0.0000 0.0000 0.0000  4 Al 2.75, 4 Li 2.75
Al 0.2500 0.2500 0.2500  4 Al 2.75, 4 Ag 2.75
Li 0.7500 0.7500 0.7500  4 Al 2.75, 4 Ag 2.75


DFT (PBE) results for a relaxed structure of TlCuTcOs.

Properties
volume = 15.8 A^3/atom
calculated density = 14.65 g cm⁻³

Cell lengths 4.4676, 4.4676, 4.4676 Å; angles 60.00, 60.00, 60.00 degrees
Closest atoms and distances in Å follow each position.
Positions (direct):
Cu 0.7500 0.7500 0.7500  4 Os 2.74, 4 Tl 2.74
Os 0.5000 0.5000 0.5000  4 Cu 2.74, 4 Tc 2.74
Tc 0.2500 0.2500 0.2500  4 Os 2.74, 4 Tl 2.74
Tl 0.0000 0.0000 0.0000  4 Cu 2.74, 4 Tc 2.74


DFT (PBE) results for a relaxed structure of BaGdTlTe3.

Properties
volume = 35.9 A^3/atom
calculated density = 6.79 g cm⁻³

Cell lengths 8.1044, 8.1044, 11.9190 Å; angles 90.00, 90.00, 146.59 degrees
Closest atoms and distances in Å follow each position.
Positions (direct):
Ba 0.7379 0.2621 0.2500  8 Te 3.46-3.84
Ba 0.2621 0.7379 0.7500  8 Te 3.46-3.84
Gd 0.5000 0.5000 0.0000  6 Te 3.23-3.34
Gd 0.5000 0.5000 0.5000  6 Te 3.23-3.34
Te 0.1428 0.8572 0.0253  1 Tl 3.17, 2 Gd 3.23
Te 0.4026 0.5974 0.2500  2 Tl 3.09, 2 Gd 3.34
Te 0.1428 0.8572 0.4747  1 Tl 3.17, 2 Gd 3.23
Te 0.8572 0.1428 0.5253  1 Tl 3.17, 2 Gd 3.23
Te 0.5974 0.4026 0.7500  2 Tl 3.09, 2 Gd 3.34
Te 0.8572 0.1428 0.9747  1 Tl 3.17, 2 Gd 3.23
Tl 0.0331 0.9669 0.2500  4 Te 3.09-3.17
Tl 0.9669 0.0331 0.7500  4 Te 3.09-3.17


DFT (PBE) results for a relaxed structure of NdSmZnNi2.

Properties
DFT formation energy = -0.39 eV per atom
volume = 19.5 A^3/atom
calculated density = 8.13 g cm⁻³

Cell lengths 5.4199, 5.4199, 5.4199 Å; angles 133.21, 119.69, 79.63 degrees
Closest atoms and distances in Å follow each position.
Positions (direct):
Nd 0.2022 0.2022 0.0000  6 Ni 2.88-3.01, 2 Zn 3.20
Ni 0.7678 0.4999 0.2679  1 Ni 2.53, 2 Zn 2.60
Ni 0.2319 0.4999 0.7321  1 Ni 2.53, 2 Zn 2.60
Sm 0.7981 0.7981 0.0000  6 Ni 2.88-3.01, 2 Zn 3.20
Zn 0.5000 0.0000 0.5000  4 Ni 2.60


DFT (PBE) results for a relaxed structure of Li4CdIn2Cu.

Properties
volume = 16.7 A^3/atom
calculated density = 5.38 g cm⁻³

Cell lengths 4.5253, 4.5253, 6.5346 Å; angles 90.00, 90.00, 90.00 degrees
Closest atoms and distances in Å follow each position.
Positions (direct):
Cd 0.0000 0.0000 0.0000  8 Li 2.86-3.20, 4 In 2.89
Cu 0.5000 0.5000 0.5000  4 In 2.70, 4 Li 2.73
In 0.5000 0.0000 0.2748  5 Li 2.70-2.99, 2 Cu 2.70, 2 Cd 2.89
In 0.0000 0.5000 0.7252  5 Li 2.70-2.99, 2 Cu 2.70, 2 Cd 2.89
Li 0.5000 0.5000 0.0000  4 Li 2.86, 4 In 2.89, 4 Cd 3.20
Li 0.0000 0.5000 0.2675  4 Li 2.73-2.86, 2 Cu 2.73, 2 Cd 2.86, 1 In 2.99
Li 0.0000 0.0000 0.5000  4 In 2.70, 4 Li 2.73
Li 0.5000 0.0000 0.7325  4 Li 2.73-2.86, 2 Cu 2.73, 2 Cd 2.86, 1 In 2.99


DFT (PBE) results for a relaxed structure of KLu.

Properties
volume = 47.3 A^3/atom
calculated density = 3.76 g cm⁻³

Cell lengths 5.9237, 5.9237, 6.2202 Å; angles 90.00, 90.00, 120.00 degrees
Closest atoms and distances in Å follow each position.
Positions (direct):
K 0.0000 0.0000 0.0000  2 K 3.11
K 0.0000 0.0000 0.5000  2 K 3.11
Lu 0.3333 0.6667 0.2500  6 K 3.76
Lu 0.6667 0.3333 0.7500  6 K 3.76


DFT (PBE) results for a relaxed structure of BeFeHgW.

Properties
volume = 14.6 A^3/atom
calculated density = 12.75 g cm⁻³

Cell lengths 4.3572, 4.3572, 4.3572 Å; angles 60.00, 60.00, 60.00 degrees
Closest atoms and distances in Å follow each position.
Positions (direct):
Be 0.7500 0.7500 0.7500  4 W 2.67, 4 Fe 2.67
Fe 0.5000 0.5000 0.5000  4 Hg 2.67, 4 Be 2.67
Hg 0.2500 0.2500 0.2500  4 W 2.67, 4 Fe 2.67
W 0.0000 0.0000 0.0000  4 Be 2.67, 4 Hg 2.67


Number 1: E -17.894 eV/cell. Number 2: E -12.716 eV/cell. Number 3: E -24.850 eV/cell. Number 4: E -49.449 eV/cell. Number 5: E -23.810 eV/cell. Number 6: E -19.708 eV/cell. Number 7: E -6.061 eV/cell. Number 8: E -21.837 eV/cell.